Density functional theory data (PBE) for a relaxed structure of AcTbSm2Y6.

## Properties
As for the formation energy: 125 meV/atom.

Cell lengths 9.675, 8.975, 8.975 Å; angles 117.88, 93.13, 93.13 degrees
Sites, in units of the cell vectors:
Ac (0.250, 0.973, 0.027)
Sm (0.951, 0.689, 0.802)
Tb (0.250, 0.411, 0.589)
Sm (0.451, 0.802, 0.689)
Y (0.385, 0.507, 0.290)
Y (0.558, 0.748, 0.129)
Tb (0.750, 0.589, 0.411)
Y (0.817, 0.439, 0.983)
Y (0.942, 0.871, 0.252)
Y (0.317, 0.983, 0.439)
Sm (0.049, 0.311, 0.198)
Y (0.058, 0.129, 0.748)
Y (0.115, 0.710, 0.493)
Y (0.442, 0.252, 0.871)
Sm (0.549, 0.198, 0.311)
Y (0.885, 0.290, 0.507)
Y (0.683, 0.017, 0.561)
Y (0.183, 0.561, 0.017)
Ac (0.750, 0.027, 0.973)
Y (0.615, 0.493, 0.710)